Here is KNaTl2Te2 after structural relaxation from Alexandria. Energies are from PBE.

Output
ΔE_f (raw): -0.628 eV/atom
final energy: -34.4 eV/cell

```
data_KNaTl2Te2
_chemical_formula_sum 'K2 Na2 Tl4 Te4'
_space_group_name_H-M_alt 'P 1'
_space_group_IT_number 1
_cell_length_a 5.230
_cell_length_b 8.090
_cell_length_c 10.221
_cell_angle_alpha 90.00
_cell_angle_beta 90.00
_cell_angle_gamma 90.00
loop_
_space_group_symop_operation_xyz
'x,y,z'
loop_
_atom_site_label
_atom_site_type_symbol
_atom_site_fract_x
_atom_site_fract_y
_atom_site_fract_z
K1 K 0.000 0.997 0.462
K2 K 0.000 0.497 0.538
Na1 Na 0.500 0.152 0.678
Na2 Na 0.500 0.652 0.322
Tl1 Tl 0.500 0.019 0.102
Tl2 Tl 0.000 0.351 0.159
Tl3 Tl 0.500 0.519 0.898
Tl4 Tl 0.000 0.851 0.841
Te1 Te 0.000 0.261 0.818
Te2 Te 0.500 0.265 0.368
Te3 Te 0.000 0.761 0.182
Te4 Te 0.500 0.765 0.632
```

---

Here is K4NaU3Te8 after structural relaxation from Alexandria. Energies are from PBE.

Output
ΔE_f (raw): -0.903 eV/atom
final energy: -79.2 eV/cell

```
data_K4NaU3Te8
_chemical_formula_sum 'K4 Na1 U3 Te8'
_space_group_name_H-M_alt 'P 1'
_space_group_IT_number 1
_cell_length_a 9.148
_cell_length_b 9.721
_cell_length_c 9.148
_cell_angle_alpha 118.05
_cell_angle_beta 120.00
_cell_angle_gamma 90.00
loop_
_space_group_symop_operation_xyz
'x,y,z'
loop_
_atom_site_label
_atom_site_type_symbol
_atom_site_fract_x
_atom_site_fract_y
_atom_site_fract_z
K1 K 0.500 0.000 0.000
K2 K 0.500 0.000 0.500
K3 K 0.000 0.000 0.000
K4 K 0.000 0.000 0.500
Na1 Na 0.000 0.500 0.000
U1 U 0.500 0.500 0.000
U2 U 0.500 0.500 0.500
U3 U 0.000 0.500 0.500
Te1 Te 0.243 0.707 0.964
Te2 Te 0.243 0.707 0.485
Te3 Te 0.264 0.290 0.527
Te4 Te 0.722 0.707 0.964
Te5 Te 0.278 0.293 0.036
Te6 Te 0.736 0.710 0.473
Te7 Te 0.757 0.293 0.515
Te8 Te 0.757 0.293 0.036
```

---

Here is KNaU2Te4 after structural relaxation from Alexandria. Energies are from PBE.

Output
ΔE_f (raw): -0.694 eV/atom
final energy: -86.2 eV/cell

```
data_KNaU2Te4
_chemical_formula_sum 'K2 Na2 U4 Te8'
_space_group_name_H-M_alt 'P 1'
_space_group_IT_number 1
_cell_length_a 4.597
_cell_length_b 7.798
_cell_length_c 16.353
_cell_angle_alpha 90.00
_cell_angle_beta 90.00
_cell_angle_gamma 107.14
loop_
_space_group_symop_operation_xyz
'x,y,z'
loop_
_atom_site_label
_atom_site_type_symbol
_atom_site_fract_x
_atom_site_fract_y
_atom_site_fract_z
K1 K 0.121 0.241 0.750
K2 K 0.879 0.759 0.250
Na1 Na 0.835 0.670 0.750
Na2 Na 0.165 0.330 0.250
U1 U 0.372 0.744 0.564
U2 U 0.628 0.256 0.064
U3 U 0.628 0.256 0.436
U4 U 0.372 0.744 0.936
Te1 Te 0.269 0.539 0.101
Te2 Te 0.731 0.461 0.601
Te3 Te 0.731 0.461 0.899
Te4 Te 0.269 0.539 0.399
Te5 Te 0.000 0.000 0.500
Te6 Te 0.000 0.000 0.000
Te7 Te 0.449 0.899 0.750
Te8 Te 0.551 0.101 0.250
```

---

Here is K2NaUTe4 after structural relaxation from Alexandria. Energies are from PBE.

Output
ΔE_f (raw): -0.871 eV/atom
final energy: -34.3 eV/cell

```
data_K2NaUTe4
_chemical_formula_sum 'K2 Na1 U1 Te4'
_space_group_name_H-M_alt 'P 1'
_space_group_IT_number 1
_cell_length_a 4.590
_cell_length_b 7.992
_cell_length_c 8.483
_cell_angle_alpha 107.61
_cell_angle_beta 90.00
_cell_angle_gamma 90.00
loop_
_space_group_symop_operation_xyz
'x,y,z'
loop_
_atom_site_label
_atom_site_type_symbol
_atom_site_fract_x
_atom_site_fract_y
_atom_site_fract_z
K1 K 0.500 0.000 0.500
K2 K 0.000 0.500 0.500
Na1 Na 0.500 0.500 0.000
U1 U 0.000 0.000 0.000
Te1 Te 0.500 0.215 0.203
Te2 Te 0.500 0.785 0.797
Te3 Te 0.000 0.235 0.794
Te4 Te 0.000 0.765 0.206
```

---

Here is KNaU2Te5 after structural relaxation from Alexandria. Energies are from PBE.

Output
ΔE_f (raw): -0.754 eV/atom
final energy: -95.0 eV/cell

```
data_KNaU2Te5
_chemical_formula_sum 'K2 Na2 U4 Te10'
_space_group_name_H-M_alt 'P 1'
_space_group_IT_number 1
_cell_length_a 8.350
_cell_length_b 8.350
_cell_length_c 10.492
_cell_angle_alpha 113.45
_cell_angle_beta 113.45
_cell_angle_gamma 90.00
loop_
_space_group_symop_operation_xyz
'x,y,z'
loop_
_atom_site_label
_atom_site_type_symbol
_atom_site_fract_x
_atom_site_fract_y
_atom_site_fract_z
K1 K 0.250 0.250 0.500
K2 K 0.750 0.750 0.500
Na1 Na 0.250 0.750 0.500
Na2 Na 0.750 0.250 0.500
U1 U 0.150 0.350 0.000
U2 U 0.650 0.150 0.000
U3 U 0.350 0.850 0.000
U4 U 0.850 0.650 0.000
Te1 Te 0.962 0.462 0.232
Te2 Te 0.730 0.230 0.768
Te3 Te 0.038 0.538 0.768
Te4 Te 0.230 0.038 0.768
Te5 Te 0.538 0.730 0.768
Te6 Te 0.770 0.962 0.232
Te7 Te 0.462 0.270 0.232
Te8 Te 0.270 0.770 0.232
Te9 Te 0.500 0.500 0.000
Te10 Te 0.000 0.000 0.000
```

---

Here is KNaUTe3 after structural relaxation from Alexandria. Energies are from PBE.

Output
ΔE_f (raw): -0.808 eV/atom
final energy: -56.0 eV/cell

```
data_KNaUTe3
_chemical_formula_sum 'K2 Na2 U2 Te6'
_space_group_name_H-M_alt 'P 1'
_space_group_IT_number 1
_cell_length_a 4.616
_cell_length_b 9.788
_cell_length_c 10.420
_cell_angle_alpha 105.61
_cell_angle_beta 90.00
_cell_angle_gamma 90.00
loop_
_space_group_symop_operation_xyz
'x,y,z'
loop_
_atom_site_label
_atom_site_type_symbol
_atom_site_fract_x
_atom_site_fract_y
_atom_site_fract_z
K1 K 0.250 0.226 0.261
K2 K 0.750 0.774 0.739
Na1 Na 0.250 0.074 0.599
Na2 Na 0.750 0.926 0.401
U1 U 0.250 0.676 0.149
U2 U 0.750 0.324 0.851
Te1 Te 0.750 0.869 0.106
Te2 Te 0.250 0.131 0.894
Te3 Te 0.250 0.749 0.451
Te4 Te 0.750 0.251 0.549
Te5 Te 0.750 0.464 0.156
Te6 Te 0.250 0.536 0.844
```

---

Here is KNa2U3Te6 after structural relaxation from Alexandria. Energies are from PBE.

Output
ΔE_f (raw): -0.790 eV/atom
final energy: -65.9 eV/cell

```
data_KNa2U3Te6
_chemical_formula_sum 'K1 Na2 U3 Te6'
_space_group_name_H-M_alt 'P 1'
_space_group_IT_number 1
_cell_length_a 4.422
_cell_length_b 9.441
_cell_length_c 10.426
_cell_angle_alpha 108.04
_cell_angle_beta 102.24
_cell_angle_gamma 90.00
loop_
_space_group_symop_operation_xyz
'x,y,z'
loop_
_atom_site_label
_atom_site_type_symbol
_atom_site_fract_x
_atom_site_fract_y
_atom_site_fract_z
K1 K 0.500 0.000 0.000
Na1 Na 0.832 0.665 0.663
Na2 Na 0.168 0.335 0.337
U1 U 0.500 0.500 0.000
U2 U 0.834 0.170 0.669
U3 U 0.166 0.830 0.331
Te1 Te 0.326 0.927 0.652
Te2 Te 0.663 0.592 0.325
Te3 Te 0.674 0.073 0.348
Te4 Te 0.996 0.268 0.993
Te5 Te 0.004 0.732 0.007
Te6 Te 0.337 0.408 0.675
```

---

Here is KNaVTe3 after structural relaxation from Alexandria. Energies are from PBE.

Output
ΔE_f (raw): -0.601 eV/atom
final energy: -49.1 eV/cell

```
data_KNaVTe3
_chemical_formula_sum 'K2 Na2 V2 Te6'
_space_group_name_H-M_alt 'P 1'
_space_group_IT_number 1
_cell_length_a 7.386
_cell_length_b 8.141
_cell_length_c 8.626
_cell_angle_alpha 118.16
_cell_angle_beta 90.00
_cell_angle_gamma 90.00
loop_
_space_group_symop_operation_xyz
'x,y,z'
loop_
_atom_site_label
_atom_site_type_symbol
_atom_site_fract_x
_atom_site_fract_y
_atom_site_fract_z
K1 K 0.750 0.196 0.392
K2 K 0.250 0.804 0.608
Na1 Na 0.250 0.429 0.858
Na2 Na 0.750 0.571 0.142
V1 V 0.250 0.062 0.124
V2 V 0.750 0.938 0.876
Te1 Te 0.250 0.227 0.454
Te2 Te 0.000 0.214 0.000
Te3 Te 0.500 0.786 0.000
Te4 Te 0.500 0.214 0.000
Te5 Te 0.000 0.786 0.000
Te6 Te 0.750 0.773 0.546
```

---

Here is K2NaVTe4 after structural relaxation from Alexandria. Energies are from PBE.

Output
ΔE_f (raw): -0.582 eV/atom
final energy: -59.7 eV/cell

```
data_K2NaVTe4
_chemical_formula_sum 'K4 Na2 V2 Te8'
_space_group_name_H-M_alt 'P 1'
_space_group_IT_number 1
_cell_length_a 9.265
_cell_length_b 9.265
_cell_length_c 10.303
_cell_angle_alpha 123.78
_cell_angle_beta 123.78
_cell_angle_gamma 91.12
loop_
_space_group_symop_operation_xyz
'x,y,z'
loop_
_atom_site_label
_atom_site_type_symbol
_atom_site_fract_x
_atom_site_fract_y
_atom_site_fract_z
K1 K 0.500 0.000 0.000
K2 K 0.500 0.000 0.500
K3 K 0.000 0.000 0.500
K4 K 0.500 0.500 0.000
Na1 Na 0.000 0.500 0.000
Na2 Na 0.000 0.500 0.500
V1 V 0.500 0.500 0.500
V2 V 0.000 0.000 0.000
Te1 Te 0.167 0.739 0.953
Te2 Te 0.761 0.333 0.547
Te3 Te 0.239 0.667 0.453
Te4 Te 0.833 0.261 0.047
Te5 Te 0.747 0.753 0.937
Te6 Te 0.747 0.753 0.563
Te7 Te 0.253 0.247 0.437
Te8 Te 0.253 0.247 0.063
```

---

Here is KNaZnTe2 after structural relaxation from Alexandria. Energies are from PBE.

Output
ΔE_f (raw): -0.542 eV/atom
final energy: -25.4 eV/cell

```
data_KNaZnTe2
_chemical_formula_sum 'K2 Na2 Zn2 Te4'
_space_group_name_H-M_alt 'P 1'
_space_group_IT_number 1
_cell_length_a 7.047
_cell_length_b 5.518
_cell_length_c 8.475
_cell_angle_alpha 90.00
_cell_angle_beta 90.00
_cell_angle_gamma 90.00
loop_
_space_group_symop_operation_xyz
'x,y,z'
loop_
_atom_site_label
_atom_site_type_symbol
_atom_site_fract_x
_atom_site_fract_y
_atom_site_fract_z
K1 K 0.209 0.250 0.500
K2 K 0.791 0.750 0.500
Na1 Na 0.594 0.750 0.000
Na2 Na 0.406 0.250 0.000
Zn1 Zn 0.000 0.000 0.000
Zn2 Zn 0.000 0.500 0.000
Te1 Te 0.779 0.250 0.775
Te2 Te 0.779 0.250 0.225
Te3 Te 0.221 0.750 0.775
Te4 Te 0.221 0.750 0.225
```